Entry 1:
# TlIn3I

TlIn3I after structural relaxation (PBE, Alexandria).

Results
Calculated density ... 5.5 g/cm3
E_form (uncorrected) ... 0.17 eV/atom
ΔE to the lowest computed polymorph ... 0 meV per atom

a b c (Å): 5.8752 5.8752 5.8752
angles (deg): 90.00 90.00 90.00
Atoms (fractional coordinates):
In 0.0000 0.5000 0.0000
In 0.5000 0.0000 0.0000
In 0.0000 0.0000 0.5000
I 0.5000 0.5000 0.5000
Tl 0.0000 0.0000 0.0000

***

Entry 2:
# PIr3

PIr3 after structural relaxation (PBE, Alexandria).

Results
Energy of formation ... 0.837 eV/atom
Calculated density ... 16.8 g/cm3
ΔE to the lowest computed polymorph ... 862 meV per atom

a b c (Å): 4.9298 4.9298 4.9298
angles (deg): 90.00 90.00 90.00
Atoms (fractional coordinates):
Ir 0.5000 0.0000 0.7500
Ir 0.0000 0.7500 0.5000
Ir 0.7500 0.5000 0.0000
Ir 0.0000 0.2500 0.5000
Ir 0.5000 0.0000 0.2500
Ir 0.2500 0.5000 0.0000
P 0.0000 0.0000 0.0000
P 0.5000 0.5000 0.5000

***

Entry 3:
# Mn2AgCl

Mn2AgCl after structural relaxation (PBE, Alexandria).

Results
Calculated density ... 5.3 g/cm3
E_form (uncorrected) ... 0.24 eV/atom
ΔE to the lowest computed polymorph ... 130 meV per atom

a b c (Å): 6.5417 6.5417 6.5417
angles (deg): 153.31 140.94 47.94
Atoms (fractional coordinates):
Ag 0.5405 0.5405 0.0000
Cl 0.8080 0.3080 0.5000
Mn 0.9791 0.9791 0.0000
Mn 0.1723 0.6723 0.5000

***

Entry 4:
# Ca4PtAu3

Ca4PtAu3 after structural relaxation (PBE, Alexandria).

Results
Energy of formation ... -0.835 eV/atom
Calculated density ... 7.8 g/cm3

a b c (Å): 4.0052 4.5680 10.9792
angles (deg): 90.00 90.00 90.00
Atoms (fractional coordinates):
Pt 0.5000 0.5000 0.0797
Au 0.5000 0.0000 0.9199
Au 0.0000 0.0000 0.4197
Au 0.0000 0.5000 0.5821
Ca 0.5000 0.0000 0.6414
Ca 0.0000 0.5000 0.8692
Ca 0.0000 0.0000 0.1379
Ca 0.5000 0.5000 0.3501

***

Summary of density of states at the Fermi level in states/eV/f.u.
2.44; 6.32; 2.41; 4.46
(order as listed above)
Summary of calculated volume in A^3/atom
40.56; 14.98; 19.74; 25.11
(order as listed above)